The following is a PBE calculation of a relaxed Ba2MgAg10 crystal, from the Alexandria database.

Unit cell a=6.1494 b=6.4618 c=17.7876 alpha=90.00 beta=90.00 gamma=90.00
Fractional positions:
Ba 0.5000 0.2324 0.8643
Ba 0.5000 0.7676 0.1357
Ba 0.5000 0.7324 0.6357
Ba 0.5000 0.2676 0.3643
Mg 0.0000 0.5000 0.5000
Mg 0.0000 0.0000 0.0000
Ag 0.0000 0.1291 0.4361
Ag 0.0000 0.8709 0.5639
Ag 0.0000 0.6291 0.0639
Ag 0.0000 0.3709 0.9361
Ag 0.0000 0.0919 0.6985
Ag 0.0000 0.9081 0.3015
Ag 0.2782 0.2803 0.0710
Ag 0.2781 0.7197 0.9290
Ag 0.7219 0.7803 0.4290
Ag 0.7218 0.2197 0.5710
Ag 0.7218 0.7197 0.9290
Ag 0.7219 0.2803 0.0710
Ag 0.2781 0.2197 0.5710
Ag 0.2782 0.7803 0.4290
Ag 0.0000 0.9946 0.1534
Ag 0.0000 0.0054 0.8466
Ag 0.0000 0.4946 0.3466
Ag 0.0000 0.5054 0.6534
Ag 0.0001 0.4081 0.1985
Ag 0.9999 0.5919 0.8015

Output
Formation energy from the elements = -9 kJ/mol of formula units
Mass density = 6.5 g/cm3
VASP energy = -0.19248 Ry per atom



The following is a PBE calculation of a relaxed Tb2Dy6YTh crystal, from the Alexandria database.

Unit cell a=9.5224 b=8.7484 c=8.7484 alpha=117.00 beta=93.64 gamma=93.64
Fractional positions:
Tb 0.4502 0.7998 0.7016
Tb 0.0498 0.2984 0.2002
Tb 0.5498 0.2002 0.2984
Tb 0.9502 0.7016 0.7998
Dy 0.0579 0.1180 0.7580
Dy 0.4421 0.2420 0.8820
Dy 0.9421 0.8820 0.2420
Dy 0.5579 0.7580 0.1180
Dy 0.3175 0.9817 0.4282
Dy 0.1825 0.5718 0.0183
Dy 0.6825 0.0183 0.5718
Dy 0.8175 0.4282 0.9817
Dy 0.1171 0.7077 0.4864
Dy 0.3829 0.5136 0.2923
Dy 0.8829 0.2923 0.5136
Dy 0.6171 0.4864 0.7077
Y 0.2500 0.4075 0.5925
Y 0.7500 0.5925 0.4075
Th 0.2500 0.9703 0.0297
Th 0.7500 0.0297 0.9703

Output
Formation energy from the elements = 144 kJ/mol of formula units
Mass density = 8.3 g/cm3
VASP energy = -0.36209 Ry per atom



The following is a PBE calculation of a relaxed TlMo2Ru crystal, from the Alexandria database.

Unit cell a=9.4158 b=9.4158 c=9.4158 alpha=17.81 beta=17.81 gamma=17.81
Fractional positions:
Mo 0.9929 0.9929 0.9929
Mo 0.5071 0.5071 0.5071
Ru 0.2500 0.2500 0.2500
Tl 0.7500 0.7500 0.7500

Output
Formation energy from the elements = 201 kJ/mol of formula units
Mass density = 12.1 g/cm3
VASP energy = -0.57372 Ry per atom
Energy relative to the lowest polymorph listed for this composition = 0.129 eV/atom



The following is a PBE calculation of a relaxed MoPRh crystal, from the Alexandria database.

Unit cell a=4.0076 b=4.0076 c=4.0076 alpha=60.00 beta=60.00 gamma=60.00
Fractional positions:
Mo 0.5000 0.5000 0.5000
P 0.2500 0.2500 0.2500
Rh 0.0000 0.0000 0.0000

Output
Formation energy from the elements = -96 kJ/mol of formula units
Mass density = 8.4 g/cm3
VASP energy = -0.60227 Ry per atom



The following is a PBE calculation of a relaxed GdSnHg4 crystal, from the Alexandria database.

Unit cell a=6.0309 b=6.0309 c=6.0309 alpha=60.00 beta=60.00 gamma=60.00
Each line ends with the local moment (μB).
Fractional positions:
Gd 0.2500 0.2500 0.2500  6.94
Hg 0.6251 0.6251 0.1248  -0.01
Hg 0.6251 0.1248 0.6251  -0.01
Hg 0.6251 0.6251 0.6251  -0.01
Hg 0.1248 0.6251 0.6251  -0.01
Sn 0.0000 0.0000 0.0000  -0.01

Output
Formation energy from the elements = -48 kJ/mol of formula units
Mass density = 11.5 g/cm3
VASP energy = -0.24244 Ry per atom



The following is a PBE calculation of a relaxed BaGdBi crystal, from the Alexandria database.

Unit cell a=4.8637 b=5.3948 c=5.3948 alpha=120.00 beta=90.00 gamma=90.00
Each line ends with the local moment (μB).
Fractional positions:
Gd 0.1661 0.0000 0.0000  7.05
Bi 0.1675 0.3333 0.6667  -0.04
Ba 0.6664 0.6667 0.3333  0.03

Output
Formation energy from the elements = -132 kJ/mol of formula units
Mass density = 6.8 g/cm3
VASP energy = -0.52073 Ry per atom



The following is a PBE calculation of a relaxed K3Tl4Pt2 crystal, from the Alexandria database.

Unit cell a=4.5465 b=7.2580 c=9.3697 alpha=96.05 beta=90.00 gamma=108.25
Fractional positions:
K 0.6002 0.2003 0.6827
K 0.0000 0.0000 0.0000
K 0.3998 0.7997 0.3173
Tl 0.7202 0.4405 0.1082
Tl 0.2798 0.5595 0.8918
Tl 0.8865 0.7731 0.6419
Tl 0.1135 0.2269 0.3581
Pt 0.7317 0.4635 0.4111
Pt 0.2683 0.5365 0.5889

Output
Formation energy from the elements = -142 kJ/mol of formula units
Mass density = 7.5 g/cm3
VASP energy = -0.21484 Ry per atom



The following is a PBE calculation of a relaxed NbHgTe2 crystal, from the Alexandria database.

Unit cell a=13.8969 b=13.8969 c=5.5492 alpha=90.00 beta=90.00 gamma=167.91
Fractional positions:
Nb 0.0386 0.9614 0.2500
Nb 0.9614 0.0386 0.7500
Te 0.1438 0.8562 0.2500
Te 0.8562 0.1438 0.7500
Te 0.9364 0.0636 0.2500
Te 0.0636 0.9364 0.7500
Hg 0.2803 0.7197 0.2500
Hg 0.7197 0.2803 0.7500

Output
Formation energy (no corrections) = 59 kJ/mol of formula units
Mass density = 8.1 g/cm3
VASP energy = -0.29477 Ry per atom
Energy relative to the lowest polymorph listed for this composition = 0.491 eV/atom



The following is a PBE calculation of a relaxed Np3P2S3 crystal, from the Alexandria database.

Unit cell a=5.3115 b=8.2510 c=8.2510 alpha=120.00 beta=90.00 gamma=90.00
Each line ends with the local moment (μB).
Fractional positions:
Np 0.7500 0.6283 0.0000  3.51
Np 0.7500 0.3717 0.3717  3.51
Np 0.7500 0.0000 0.6283  3.51
Np 0.2500 0.3717 0.0000  3.51
Np 0.2500 0.6283 0.6283  3.51
Np 0.2500 0.0000 0.3717  3.51
P 0.0000 0.3333 0.6667  -0.15
P 0.5000 0.6667 0.3333  -0.15
P 0.0000 0.6667 0.3333  -0.15
P 0.5000 0.3333 0.6667  -0.15
S 0.7500 0.2677 0.0000  -0.13
S 0.7500 0.7323 0.7323  -0.13
S 0.7500 0.0000 0.2677  -0.13
S 0.2500 0.7323 0.0000  -0.13
S 0.2500 0.2677 0.2677  -0.13
S 0.2500 0.0000 0.7323  -0.13

Output
Formation energy (no corrections) = -886 kJ/mol of formula units
Mass density = 9.2 g/cm3
VASP energy = -0.65424 Ry per atom



The following is a PBE calculation of a relaxed LaHo2Th5 crystal, from the Alexandria database.

Unit cell a=5.0487 b=7.1826 c=14.3552 alpha=90.00 beta=90.00 gamma=90.00
Fractional positions:
La 0.0000 0.0000 0.5000
La 0.0000 0.5000 0.0000
Ho 0.5000 0.2556 0.6275
Ho 0.5000 0.7444 0.3725
Ho 0.5000 0.2444 0.1275
Ho 0.5000 0.7556 0.8725
Th 0.0000 0.0000 0.0000
Th 0.0000 0.5000 0.5000
Th 0.0000 0.5004 0.7480
Th 0.0000 0.4996 0.2520
Th 0.0000 0.9996 0.2480
Th 0.0000 0.0004 0.7520
Th 0.5000 0.2467 0.8726
Th 0.5000 0.7533 0.1274
Th 0.5000 0.2533 0.3726
Th 0.5000 0.7467 0.6274

Output
Formation energy from the elements = 47 kJ/mol of formula units
Mass density = 10.4 g/cm3
VASP energy = -0.46576 Ry per atom



The following is a PBE calculation of a relaxed GeP2IrO crystal, from the Alexandria database.

Unit cell a=4.6476 b=4.6602 c=4.6476 alpha=90.00 beta=90.00 gamma=90.00
Each line ends with the local moment (μB).
Fractional positions:
P 0.0000 0.0000 0.5000  -0.01
P 0.5000 0.0000 0.0000  0.00
Ge 0.0000 0.0000 0.0000  -0.02
Ir 0.0000 0.5000 0.0000  0.56
O 0.5000 0.5000 0.5000  1.07

Output
Formation energy (no corrections) = 799 kJ/mol of formula units
Mass density = 5.7 g/cm3
VASP energy = -0.30830 Ry per atom
Energy relative to the lowest polymorph listed for this composition = 1.372 eV/atom